The following is a DFT calculation (PBE-GGA) of an optimized crystal structure of PmSc2Tc9.

The calculated total energy is -335.39 eV for the cell shown.

Unit cell a=5.2914 b=5.2914 c=25.8904 alpha=90.00 beta=90.00 gamma=120.00
Space group R-3m (No. 166, hexagonal axes)
Unique sites:
1 Pm 0.0000 0.0000 0.0000 (multiplicity 3)
2 Sc 0.0000 0.0000 0.1441 (multiplicity 6)
3 Tc 0.0000 0.0000 0.3379 (multiplicity 6)
4 Tc 0.0000 0.0000 0.5000 (multiplicity 3)
5 Tc 0.0114 0.5057 0.9142 (multiplicity 18)